1.
# Ba8PtN2

A geometry-optimized Ba8PtN2 structure (GGA-PBE, the Alexandria database).

Geometry as extended XYZ:
```
11
Lattice="7.4289 -5.2989 0.0000 7.4289 5.2989 0.0000 -0.1711 0.0000 7.3957" Properties=species:S:1:pos:R:3 pbc="T T T"
Ba 5.6624 3.3057 5.4532
Ba 2.3713 0.0000 5.8526
Ba 9.0243 3.3057 1.9425
Ba 5.2144 0.0000 1.7110
Ba 9.4724 0.0000 5.6846
Ba 5.6624 -3.3057 5.4532
Ba 12.3154 0.0000 1.5430
Ba 9.0243 -3.3057 1.9425
Pt -0.0856 0.0000 3.6978
N 2.8694 0.0000 0.9864
N 11.8173 0.0000 6.4093
```

Computed properties:
V ... 582.26 Å³ per cell
Fermi-level density of states ... 7.056 states/eV per cell
E_form (uncorrected) ... -0.362 eV per atom



2.
# ScAsW2

A geometry-optimized ScAsW2 structure (GGA-PBE, the Alexandria database).

Geometry as extended XYZ:
```
8
Lattice="5.3532 0.0000 0.0000 0.0000 9.0532 0.0000 0.0000 0.0000 2.8472" Properties=species:S:1:pos:R:3 pbc="T T T"
Sc 0.0000 0.0000 0.0000
Sc 2.6766 4.5266 0.0000
As 0.0000 4.5266 0.0000
As 2.6766 0.0000 0.0000
W 1.3383 2.2633 1.4236
W 1.3383 6.7899 1.4236
W 4.0149 2.2633 1.4236
W 4.0149 6.7899 1.4236
```

Computed properties:
ΔE_f ... 0.39 eV per atom
V ... 137.98 Å³ per cell
Fermi-level density of states ... 7.057 states/eV per cell



3.
# RbGeI2O8

A geometry-optimized RbGeI2O8 structure (GGA-PBE, the Alexandria database).

Geometry as extended XYZ:
```
12
Lattice="5.5343 -2.7948 0.0000 5.5343 2.7948 0.0000 -2.1969 0.0000 6.5116" Properties=species:S:1:pos:R:3 pbc="T T T"
Rb 0.0000 0.0000 0.0000
Ge 4.4358 0.0000 3.2558
I 0.9424 0.0000 4.2689
I 7.9293 0.0000 2.2428
O 3.6743 1.3827 2.0251
O 1.1246 0.0000 2.4886
O 5.1973 1.3827 4.4865
O 3.0433 0.0000 4.5001
O 5.8284 0.0000 2.0116
O 3.6743 -1.3827 2.0251
O 7.7471 0.0000 4.0230
O 5.1973 -1.3827 4.4865
```

Computed properties:
V ... 201.43 Å³ per cell
Fermi-level density of states ... 4.469 states/eV per cell
E_form (uncorrected) ... -0.629 eV per atom



4.
# Ac3Nd2Sm8

A geometry-optimized Ac3Nd2Sm8 structure (GGA-PBE, the Alexandria database).

Geometry as extended XYZ:
```
26
Lattice="11.9589 0.0000 0.0000 0.0000 22.0463 0.0000 0.0000 0.0000 3.6554" Properties=species:S:1:pos:R:3 pbc="T T T"
Ac 0.0000 0.0000 0.0000
Ac 1.6466 6.5948 0.0000
Ac 4.3329 17.6180 0.0000
Ac 5.9794 11.0232 0.0000
Ac 7.6260 4.4283 0.0000
Ac 10.3123 15.4515 0.0000
Nd 2.0921 19.7521 1.8277
Nd 3.8873 8.7289 1.8277
Nd 8.0716 13.3174 1.8277
Nd 9.8667 2.2943 1.8277
Sm 0.5695 9.5162 1.8277
Sm 0.7576 3.4397 0.0000
Sm 1.6826 15.6261 1.8277
Sm 2.4588 12.2197 0.0000
Sm 3.5206 1.1966 0.0000
Sm 4.2968 4.6029 1.8277
Sm 5.2219 14.4629 0.0000
Sm 5.4099 20.5394 1.8277
Sm 6.5490 1.5070 1.8277
Sm 6.7370 7.5834 0.0000
Sm 7.6621 17.4434 1.8277
Sm 8.4383 20.8498 0.0000
Sm 9.5000 9.8266 0.0000
Sm 10.2762 6.4202 1.8277
Sm 11.2013 18.6066 0.0000
Sm 11.3893 12.5301 1.8277
```

Computed properties:
ΔE_f ... 0.18 eV per atom
V ... 963.73 Å³ per cell
Fermi-level density of states ... 36.267 states/eV per cell



5.
# PaGeP2

A geometry-optimized PaGeP2 structure (GGA-PBE, the Alexandria database).

Geometry as extended XYZ:
```
12
Lattice="3.3145 0.0000 0.0000 -1.6573 2.8704 0.0000 0.0000 0.0000 26.0516" Properties=species:S:1:pos:R:3 pbc="T T T"
Pa 0.0000 0.0000 0.0000
Pa 0.0000 1.9136 17.3677
Pa 1.6573 0.9568 8.6839
Ge 0.0000 0.0000 13.0258
Ge 0.0000 1.9136 4.3419
Ge 1.6573 0.9568 21.7096
P 0.0000 0.0000 2.7690
P 0.0000 0.0000 23.2826
P 0.0000 1.9136 14.5987
P 0.0000 1.9136 20.1367
P 1.6573 0.9568 5.9149
P 1.6573 0.9568 11.4529
```

Computed properties:
ΔE_f ... 0.31 eV per atom
V ... 247.86 Å³ per cell
Fermi-level density of states ... 14.948 states/eV per cell



6.
# BaFeSb2

A geometry-optimized BaFeSb2 structure (GGA-PBE, the Alexandria database).

Geometry as extended XYZ:
```
8
Lattice="4.3394 0.0000 0.0000 0.0000 6.7796 0.0000 0.0000 0.0000 8.4105" Properties=species:S:1:pos:R:3 pbc="T T T"
Ba 0.0000 0.0000 0.0000
Ba 2.1697 3.3898 4.2052
Fe 0.0000 0.0000 4.2052
Fe 2.1697 3.3898 0.0000
Sb 0.0000 3.3898 1.4846
Sb 0.0000 3.3898 6.9258
Sb 2.1697 0.0000 2.7206
Sb 2.1697 0.0000 5.6899
```

Computed properties:
V ... 247.43 Å³ per cell
Fermi-level density of states ... 9.501 states/eV per cell
E_form (uncorrected) ... -0.148 eV per atom



7.
# Mn2InTe

A geometry-optimized Mn2InTe structure (GGA-PBE, the Alexandria database).

Geometry as extended XYZ:
```
4
Lattice="3.5675 0.0000 0.0000 0.0000 3.5103 0.0000 -0.5554 0.0000 6.1648" Properties=species:S:1:pos:R:3 pbc="T T T"
Mn -0.0934 0.0000 1.5089
Mn 3.1055 0.0000 4.6560
In 1.5061 1.7551 3.0824
Te 1.7838 1.7551 0.0000
```

Computed properties:
V ... 77.20 Å³ per cell
Fermi-level density of states ... 2.527 states/eV per cell
E_form (uncorrected) ... 0.313 eV per atom



8.
# TcGe

A geometry-optimized TcGe structure (GGA-PBE, the Alexandria database).

Geometry as extended XYZ:
```
8
Lattice="9.0985 0.0000 0.0000 0.0000 3.0308 0.0000 -1.3933 0.0000 4.2707" Properties=species:S:1:pos:R:3 pbc="T T T"
Tc 0.7170 0.0000 1.3208
Tc 2.4390 1.5154 2.9498
Tc 5.2663 1.5154 1.3208
Tc 6.9883 0.0000 2.9498
Ge -0.0528 1.5154 3.4704
Ge 3.2088 0.0000 0.8003
Ge 4.4964 0.0000 3.4704
Ge 7.7581 1.5154 0.8003
```

Computed properties:
ΔE_f ... -0.08 eV per atom
V ... 117.77 Å³ per cell
Fermi-level density of states ... 7.501 states/eV per cell



9.
# CuMoAu

A geometry-optimized CuMoAu structure (GGA-PBE, the Alexandria database).

Geometry as extended XYZ:
```
3
Lattice="2.7975 0.0000 0.0000 -1.3988 2.4227 0.0000 0.0000 0.0000 6.8646" Properties=species:S:1:pos:R:3 pbc="T T T"
Cu 0.0000 0.0000 0.0000
Mo 0.0000 1.6151 2.1725
Au 1.3988 0.8076 4.6010
```

Computed properties:
ΔE_f ... 0.28 eV per atom
V ... 46.53 Å³ per cell
Fermi-level density of states ... 2.845 states/eV per cell



10.
# PrDyY2

A geometry-optimized PrDyY2 structure (GGA-PBE, the Alexandria database).

Geometry as extended XYZ:
```
12
Lattice="3.6032 0.0000 0.0000 -1.8016 3.1204 0.0000 0.0000 0.0000 35.1253" Properties=species:S:1:pos:R:3 pbc="T T T"
Pr 0.0000 0.0000 0.0000
Pr 0.0000 2.0803 23.4169
Pr 1.8016 1.0401 11.7084
Dy 0.0000 0.0000 17.5627
Dy 0.0000 2.0803 5.8542
Dy 1.8016 1.0401 29.2711
Y 0.0000 0.0000 8.7297
Y 0.0000 0.0000 26.3956
Y 0.0000 2.0803 14.6872
Y 0.0000 2.0803 32.1466
Y 1.8016 1.0401 2.9788
Y 1.8016 1.0401 20.4381
```

Computed properties:
ΔE_f ... 0.02 eV per atom
V ... 394.93 Å³ per cell
Fermi-level density of states ... 16.950 states/eV per cell



11.
# CaPb2

A geometry-optimized CaPb2 structure (GGA-PBE, the Alexandria database).

Geometry as extended XYZ:
```
6
Lattice="11.7954 0.0000 0.0000 0.0000 3.9641 0.0000 -1.5746 0.0000 4.0304" Properties=species:S:1:pos:R:3 pbc="T T T"
Ca 0.0000 0.0000 0.0000
Ca 5.8977 1.9820 0.0000
Pb 1.0387 1.9820 2.7305
Pb 3.2844 0.0000 1.2999
Pb 6.9364 0.0000 2.7305
Pb 9.1821 1.9820 1.2999
```

Computed properties:
ΔE_f ... -0.27 eV per atom
V ... 188.45 Å³ per cell
Fermi-level density of states ... 3.628 states/eV per cell



12.
# Dy2MgZn9

A geometry-optimized Dy2MgZn9 structure (GGA-PBE, the Alexandria database).

Geometry as extended XYZ:
```
12
Lattice="2.7272 1.5746 8.4680 -2.7272 1.5746 8.4680 0.0000 -3.1491 8.4680" Properties=species:S:1:pos:R:3 pbc="T T T"
Dy 0.0000 0.0000 3.5645
Dy 0.0000 0.0000 21.8396
Mg 0.0000 0.0000 0.0000
Zn -1.3877 -0.8012 10.5750
Zn 0.0000 0.0000 8.5088
Zn 0.0000 -1.6024 14.8292
Zn -1.3877 0.8012 14.8292
Zn 0.0000 0.0000 12.7021
Zn 1.3877 -0.8012 10.5750
Zn 0.0000 1.6024 10.5750
Zn 0.0000 0.0000 16.8954
Zn 1.3877 0.8012 14.8292
```

Computed properties:
ΔE_f ... -0.18 eV per atom
V ... 218.18 Å³ per cell
Fermi-level density of states ... 7.200 states/eV per cell



13.
# Zr2Co

A geometry-optimized Zr2Co structure (GGA-PBE, the Alexandria database).

Geometry as extended XYZ:
```
12
Lattice="5.5216 0.0000 0.0000 0.0000 8.9742 0.0000 -2.7505 0.0000 4.4798" Properties=species:S:1:pos:R:3 pbc="T T T"
Zr 0.0000 1.5405 0.0000
Zr 0.0000 7.4337 0.0000
Zr 0.0038 4.4871 1.5400
Zr 0.0065 0.0000 2.9398
Zr 2.7608 2.9466 0.0000
Zr 2.7608 6.0275 0.0000
Zr 2.7646 0.0000 1.5400
Zr 2.7673 4.4871 2.9398
Co -1.3752 2.2485 2.2399
Co -1.3752 6.7257 2.2399
Co 1.3856 2.2386 2.2399
Co 1.3856 6.7355 2.2399
```

Computed properties:
ΔE_f ... -0.26 eV per atom
V ... 221.98 Å³ per cell
Fermi-level density of states ... 16.081 states/eV per cell



14.
# Ga2Cu5Au

A geometry-optimized Ga2Cu5Au structure (GGA-PBE, the Alexandria database).

Geometry as extended XYZ:
```
32
Lattice="13.0608 0.0000 0.0000 0.0000 4.1565 0.0000 0.0000 0.0000 8.3308" Properties=species:S:1:pos:R:3 pbc="T T T"
Ga 1.4170 1.0391 1.4947
Ga 1.5178 1.0391 4.3323
Ga 5.0126 3.1173 0.1669
Ga 5.1135 3.1173 5.6601
Ga 7.9474 1.0391 2.6707
Ga 8.0483 1.0391 8.1638
Ga 11.5430 3.1173 3.9985
Ga 11.6439 3.1173 6.8360
Cu 0.7276 3.1173 5.5719
Cu 0.8520 3.1173 2.9660
Cu 2.7740 3.1173 7.1957
Cu 3.0197 3.1173 4.3518
Cu 3.0312 3.1173 1.6859
Cu 3.4992 1.0391 5.8513
Cu 3.5108 1.0391 0.1864
Cu 3.7565 1.0391 3.0303
Cu 5.6784 1.0391 7.1313
Cu 5.8028 1.0391 1.4065
Cu 7.2580 3.1173 6.9242
Cu 7.3824 3.1173 1.1994
Cu 9.3044 3.1173 5.3004
Cu 9.5501 3.1173 8.1444
Cu 9.5617 3.1173 2.4794
Cu 10.0296 1.0391 6.6448
Cu 10.0412 1.0391 3.9790
Cu 10.2869 1.0391 1.1350
Cu 12.2088 1.0391 5.3648
Cu 12.3333 1.0391 2.7588
Au 0.9832 1.0391 7.2994
Au 5.5472 3.1173 3.1340
Au 7.5137 1.0391 5.1967
Au 12.0776 3.1173 1.0313
```

Computed properties:
ΔE_f ... -0.05 eV per atom
V ... 452.25 Å³ per cell
Fermi-level density of states ... 8.557 states/eV per cell



15.
# Na2Zr2AgTe6

A geometry-optimized Na2Zr2AgTe6 structure (GGA-PBE, the Alexandria database).

Geometry as extended XYZ:
```
11
Lattice="3.5536 -6.3229 0.0000 3.5536 6.3229 0.0000 -2.3573 0.0000 7.7733" Properties=species:S:1:pos:R:3 pbc="T T T"
Na 3.5536 4.2819 0.0000
Na 3.5536 -4.2819 0.0000
Zr 2.3749 2.1168 3.8866
Zr 2.3749 -2.1168 3.8866
Ag -1.1786 0.0000 3.8866
Te 0.0467 2.1865 5.6167
Te 1.2419 0.0000 2.1982
Te 0.0467 -2.1865 5.6167
Te 4.7031 2.1865 2.1566
Te 3.5080 0.0000 5.5751
Te 4.7031 -2.1865 2.1566
```

Computed properties:
V ... 349.31 Å³ per cell
Fermi-level density of states ... 5.779 states/eV per cell
E_form (uncorrected) ... -0.688 eV per atom



16.
# Ti2ReAs4

A geometry-optimized Ti2ReAs4 structure (GGA-PBE, the Alexandria database).

Geometry as extended XYZ:
```
14
Lattice="13.5619 0.0000 0.0000 0.0000 3.3711 0.0000 -2.8058 0.0000 5.6545" Properties=species:S:1:pos:R:3 pbc="T T T"
Ti 2.6973 0.0000 1.4053
Ti 1.2778 1.6856 4.2493
Ti 8.0587 0.0000 4.2493
Ti 9.4783 1.6856 1.4053
Re 0.0000 0.0000 0.0000
Re 6.7809 1.6856 0.0000
As 0.6651 1.6856 1.7638
As -0.5933 0.0000 4.4908
As 4.5684 1.6856 1.1637
As 3.3100 0.0000 3.8908
As 7.4460 0.0000 1.7638
As 6.1876 1.6856 4.4908
As 11.3494 0.0000 1.1637
As 10.0910 1.6856 3.8908
```

Computed properties:
ΔE_f ... -0.41 eV per atom
V ... 258.52 Å³ per cell
Fermi-level density of states ... 7.474 states/eV per cell



17.
# YHf2TiAg

A geometry-optimized YHf2TiAg structure (GGA-PBE, the Alexandria database).

Geometry as extended XYZ:
```
5
Lattice="5.1476 0.0000 0.0000 0.0000 5.1476 0.0000 0.0000 0.0000 4.9798" Properties=species:S:1:pos:R:3 pbc="T T T"
Y 0.0000 0.0000 0.0000
Hf 0.0000 2.5738 2.4899
Hf 2.5738 0.0000 2.4899
Ti 2.5738 2.5738 0.0000
Ag 2.5738 2.5738 2.4899
```

Computed properties:
ΔE_f ... 0.84 eV per atom
V ... 131.95 Å³ per cell
Fermi-level density of states ... 4.342 states/eV per cell



18.
# AcTbH2

A geometry-optimized AcTbH2 structure (GGA-PBE, the Alexandria database).

Geometry as extended XYZ:
```
12
Lattice="3.7867 0.0000 0.0000 -1.8934 3.2794 0.0000 0.0000 0.0000 19.5552" Properties=species:S:1:pos:R:3 pbc="T T T"
Ac 0.0000 0.0000 0.0000
Ac 0.0000 2.1863 13.0368
Ac 1.8934 1.0931 6.5184
Tb 0.0000 0.0000 3.5987
Tb 0.0000 2.1863 16.6355
Tb 1.8934 1.0931 10.1171
H 0.0000 0.0000 11.2405
H 0.0000 0.0000 16.9251
H 0.0000 2.1863 4.7222
H 0.0000 2.1863 10.4067
H 1.8934 1.0931 3.8883
H 1.8934 1.0931 17.7589
```

Computed properties:
V ... 242.84 Å³ per cell
VASP energy ... -4.14 eV/atom
Fermi-level density of states ... 3.974 states/eV per cell



19.
# ErMgCuSe3

A geometry-optimized ErMgCuSe3 structure (GGA-PBE, the Alexandria database).

Geometry as extended XYZ:
```
12
Lattice="7.8261 0.0000 0.0000 0.0000 3.8521 0.0000 -1.7759 0.0000 8.5573" Properties=species:S:1:pos:R:3 pbc="T T T"
Er 0.9932 0.9630 2.1333
Er 5.0569 2.8891 6.4239
Mg 1.1571 2.8891 7.1677
Mg 4.8930 0.9630 1.3896
Cu -0.4206 0.9630 4.9537
Cu 6.4707 2.8891 3.6036
Se -0.8396 0.9630 7.3782
Se 1.0817 2.8891 4.3762
Se 2.9606 2.8891 1.3000
Se 3.0896 0.9630 7.2572
Se 4.9684 0.9630 4.1810
Se 6.8897 2.8891 1.1791
```

Computed properties:
V ... 257.98 Å³ per cell
E_form (uncorrected) ... -1.206 eV per atom



20.
# CdReI3

A geometry-optimized CdReI3 structure (GGA-PBE, the Alexandria database).

Geometry as extended XYZ:
```
5
Lattice="5.8852 0.0000 0.0000 0.0000 5.8852 0.0000 0.0000 0.0000 5.8852" Properties=species:S:1:pos:R:3 pbc="T T T"
Cd 0.0000 0.0000 0.0000
Re 2.9426 2.9426 2.9426
I 0.0000 0.0000 2.9426
I 0.0000 2.9426 0.0000
I 2.9426 0.0000 0.0000
```

Computed properties:
V ... 203.83 Å³ per cell
Fermi-level density of states ... 0.532 states/eV per cell
E_form (uncorrected) ... 1.042 eV per atom